BaFe2W: optimized geometry, PBE-GGA.

Values from the calculation:
Excess energy over the best structure of this formula in the dataset: 0.651 eV/atom
Energy relative to the elements: 1.2281 eV per atom

Cell lengths 4.944, 4.944, 3.005 Å; angles 90.00, 90.00, 90.00 degrees
Space group P4/mmm (No. 123)
One atom of each set of equivalent atoms:
Ba (0.000, 0.000, 0.000) [1 per cell]
Fe (0.000, 0.500, 0.500) [2 per cell]
W (0.500, 0.500, 0.000) [1 per cell]



BaFeW: optimized geometry, PBE-GGA.

Values from the calculation:
Excess energy over the best structure of this formula in the dataset: 0.941 eV/atom
Energy relative to the elements: 1.7570 eV per atom

Cell lengths 6.641, 6.641, 6.641 Å; angles 90.00, 90.00, 90.00 degrees
Space group F-43m (No. 216)
One atom of each set of equivalent atoms:
Ba (0.000, 0.000, 0.000) [4 per cell]
Fe (0.250, 0.250, 0.250) [4 per cell]
W (0.000, 0.000, 0.500) [4 per cell]



BaFe2W: optimized geometry, PBE-GGA.

Values from the calculation:
Excess energy over the best structure of this formula in the dataset: 0.232 eV/atom
Energy relative to the elements: 0.8096 eV per atom

Cell lengths 3.652, 3.518, 13.352 Å; angles 90.00, 90.00, 90.00 degrees
Space group Amm2 (No. 38)
One atom of each set of equivalent atoms:
Ba (0.000, 0.000, 0.000) [2 per cell]
Fe (0.000, 0.000, 0.753) [2 per cell]
Fe (0.500, 0.000, 0.653) [2 per cell]
W (0.500, 0.000, 0.276) [2 per cell]



BaYFe2W: optimized geometry, PBE-GGA.

Values from the calculation:
Energy relative to the elements: 2.5894 eV per atom

Cell lengths 4.696, 4.696, 5.423 Å; angles 90.00, 90.00, 90.00 degrees
Space group P4/mmm (No. 123)
One atom of each set of equivalent atoms:
Ba (0.000, 0.000, 0.000) [1 per cell]
Y (0.000, 0.000, 0.500) [1 per cell]
Fe (0.000, 0.500, 0.000) [2 per cell]
W (0.500, 0.500, 0.500) [1 per cell]



BaYFe2: optimized geometry, PBE-GGA.

Values from the calculation:
Excess energy over the best structure of this formula in the dataset: 0.747 eV/atom
Energy relative to the elements: 0.9565 eV per atom

Cell lengths 7.929, 7.929, 6.406 Å; angles 90.00, 90.00, 90.00 degrees
Space group I-42d (No. 122)
One atom of each set of equivalent atoms:
Ba (0.000, 0.000, 0.000) [4 per cell]
Y (0.000, 0.000, 0.500) [4 per cell]
Fe (0.231, 0.750, 0.625) [8 per cell]



BaYFe2: optimized geometry, PBE-GGA.

Values from the calculation:
Excess energy over the best structure of this formula in the dataset: 0.000 eV/atom
Energy relative to the elements: 0.2094 eV per atom

Cell lengths 6.937, 4.005, 8.193 Å; angles 90.00, 106.26, 90.00 degrees
Space group Cm (No. 8)
One atom of each set of equivalent atoms:
Ba (0.000, 0.000, 0.000) [2 per cell]
Y (0.327, 0.500, 0.476) [2 per cell]
Fe (0.067, 0.500, 0.698) [2 per cell]
Fe (0.233, 0.000, 0.697) [2 per cell]



Ba2YFe: optimized geometry, PBE-GGA.

Values from the calculation:
Excess energy over the best structure of this formula in the dataset: 0.376 eV/atom
Energy relative to the elements: 0.7111 eV per atom

Cell lengths 5.772, 5.772, 8.150 Å; angles 90.00, 90.00, 90.00 degrees
Space group I-4m2 (No. 119)
One atom of each set of equivalent atoms:
Ba (0.000, 0.000, 0.000) [2 per cell]
Ba (0.000, 0.500, 0.250) [2 per cell]
Y (0.000, 0.500, 0.750) [2 per cell]
Fe (0.000, 0.000, 0.500) [2 per cell]



BaYFe2: optimized geometry, PBE-GGA.

Values from the calculation:
Excess energy over the best structure of this formula in the dataset: 0.497 eV/atom
Energy relative to the elements: 0.7062 eV per atom

Cell lengths 7.269, 7.269, 7.269 Å; angles 90.00, 90.00, 90.00 degrees
Space group Fm-3m (No. 225)
One atom of each set of equivalent atoms:
Ba (0.000, 0.000, 0.000) [4 per cell]
Y (0.000, 0.000, 0.500) [4 per cell]
Fe (0.250, 0.250, 0.250) [8 per cell]